(1)
Density functional theory data (PBE) for a relaxed Mg14AlBi crystal.

Computed properties:
The mass density is 2.590 g/cm³. The calculation puts the energy relative to the elements at -9 kJ/mol of formula units.

CIF file:
```
data_Mg14AlBi
_cell_length_a 10.333
_cell_length_b 6.445
_cell_length_c 11.092
_cell_angle_alpha 90.00
_cell_angle_beta 90.00
_cell_angle_gamma 90.00
_space_group_name_H-M_alt 'A m m 2'
_space_group_IT_number 38
loop_
_space_group_symop_operation_xyz
'x,y,z'
'-x,-y,z'
'-x,y,z'
'x,-y,z'
'x,y+1/2,z+1/2'
'-x,-y+1/2,z+1/2'
'-x,y+1/2,z+1/2'
'x,-y+1/2,z+1/2'
loop_
_atom_site_label
_atom_site_type_symbol
_atom_site_fract_x
_atom_site_fract_y
_atom_site_fract_z
Mg1 Mg 0.000 0.000 0.000
Mg2 Mg 0.000 0.000 0.499
Mg3 Mg 0.000 0.248 0.248
Mg4 Mg 0.245 0.000 0.829
Mg5 Mg 0.252 0.243 0.582
Mg6 Mg 0.255 0.000 0.333
Mg7 Mg 0.500 0.248 0.748
Al1 Al 0.500 0.000 0.495
Bi1 Bi 0.500 0.000 0.996
```



(2)
Density functional theory data (PBE) for a relaxed Mg2AlBi2 crystal.

Computed properties:
The mass density is 6.101 g/cm³. The calculation puts the energy relative to the elements at 41 kJ/mol of formula units.

CIF file:
```
data_Mg2AlBi2
_cell_length_a 8.766
_cell_length_b 8.766
_cell_length_c 3.496
_cell_angle_alpha 90.00
_cell_angle_beta 90.00
_cell_angle_gamma 90.00
_space_group_name_H-M_alt 'P 4/m b m'
_space_group_IT_number 127
_space_group_name_Hall '-P 4 2ab'
loop_
_atom_site_label
_atom_site_type_symbol
_atom_site_fract_x
_atom_site_fract_y
_atom_site_fract_z
Mg1 Mg 0.133 0.367 0.000
Al1 Al 0.000 0.000 0.500
Bi1 Bi 0.166 0.666 0.500
```



(3)
Density functional theory data (PBE) for a relaxed MgAlBi2 crystal.

Computed properties:
The mass density is 7.380 g/cm³. The calculation puts the energy relative to the elements at 34 kJ/mol of formula units.

CIF file:
```
data_MgAlBi2
_cell_length_a 3.544
_cell_length_b 3.544
_cell_length_c 8.405
_cell_angle_alpha 90.00
_cell_angle_beta 90.00
_cell_angle_gamma 90.00
_space_group_name_H-M_alt 'P 4/m m m'
_space_group_IT_number 123
_space_group_name_Hall '-P 4 2'
loop_
_atom_site_label
_atom_site_type_symbol
_atom_site_fract_x
_atom_site_fract_y
_atom_site_fract_z
Mg1 Mg 0.000 0.000 0.000
Al1 Al 0.000 0.000 0.500
Bi1 Bi 0.500 0.500 0.257
```



(4)
Density functional theory data (PBE) for a relaxed Mg2AlBi2 crystal.

Computed properties:
The mass density is 5.558 g/cm³. The calculation puts the energy relative to the elements at 77 kJ/mol of formula units.

CIF file:
```
data_Mg2AlBi2
_cell_length_a 4.485
_cell_length_b 4.485
_cell_length_c 14.660
_cell_angle_alpha 90.00
_cell_angle_beta 90.00
_cell_angle_gamma 90.00
_space_group_name_H-M_alt 'I 4/m m m'
_space_group_IT_number 139
_space_group_name_Hall '-I 4 2'
loop_
_atom_site_label
_atom_site_type_symbol
_atom_site_fract_x
_atom_site_fract_y
_atom_site_fract_z
Mg1 Mg 0.000 0.500 0.250
Al1 Al 0.000 0.000 0.000
Bi1 Bi 0.000 0.000 0.388
```